Record 1
An optimized crystal structure of DyLuPbC, computed with PBE.

abc: 3.5983 3.5983 15.9335
angles: 90.00 90.00 120.00
Last column: nearest neighbours and their distance in Å.
Element x y z (fractional)
C (0.0000, 0.0000, 0.2459)  3 Lu 2.43, 3 Dy 2.48
C (0.0000, 0.0000, 0.7541)  3 Lu 2.43, 3 Dy 2.48
Dy (0.3333, 0.6667, 0.3304)  3 C 2.48
Dy (0.3333, 0.6667, 0.6696)  3 C 2.48
Lu (0.6667, 0.3333, 0.1664)  3 C 2.43
Lu (0.6667, 0.3333, 0.8337)  3 C 2.43
Pb (0.3333, 0.6667, 0.0000)  6 Lu 3.37, 6 Pb 3.60
Pb (0.6667, 0.3333, 0.5000)  6 Dy 3.41, 6 Pb 3.60

Output
Its total energy is -0.443 Ry per atom. The value obtained for the total magnetization is 0.001 μB/atom.



Record 2
An optimized crystal structure of DyLuPbC, computed with PBE.

abc: 3.5945 3.5945 15.9002
angles: 90.00 90.00 120.00
Last column: nearest neighbours and their distance in Å.
Element x y z (fractional)
C (0.0000, 0.0000, 0.4978)  3 Lu 2.43, 3 Dy 2.47
C (0.0000, 0.0000, 0.9978)  3 Lu 2.43, 3 Dy 2.47
Dy (0.3333, 0.6667, 0.0821)  3 C 2.47
Dy (0.6667, 0.3333, 0.5821)  3 C 2.47
Lu (0.3333, 0.6667, 0.4180)  3 C 2.43
Lu (0.6667, 0.3333, 0.9180)  3 C 2.43
Pb (0.6667, 0.3333, 0.2521)  3 Lu 3.36, 3 Dy 3.41, 6 Pb 3.59
Pb (0.3333, 0.6667, 0.7521)  3 Lu 3.36, 3 Dy 3.41, 6 Pb 3.59

Output
Its total energy is -0.443 Ry per atom. The value obtained for the total magnetization is 0.002 μB/atom.